1.
# Ga2PdSe4

A geometry-optimized Ga2PdSe4 structure (PBE, the Alexandria database).

```
Ga2PdSe4
1.0
5.320 0.000 0.000
0.000 5.320 0.000
0.000 0.000 6.187
Se Ga Pd
4 2 1
Direct
0.266 0.734 0.753 Se
0.734 0.734 0.247 Se
0.266 0.266 0.247 Se
0.734 0.266 0.753 Se
0.000 0.500 0.500 Ga
0.500 0.000 0.500 Ga
0.000 0.000 0.000 Pd
```

Results
Size of the total moment   0.00 μB per cell
Final energy   -3.993 eV per atom

2.
# KGaICl2

A geometry-optimized KGaICl2 structure (PBE, the Alexandria database).

```
KGaICl2
1.0
5.168 0.000 0.000
0.000 5.168 0.000
0.000 0.000 5.840
Cl K Ga I
2 1 1 1
Direct
0.000 0.500 0.000 Cl
0.500 0.000 0.000 Cl
0.500 0.500 0.500 K
0.000 0.000 0.000 Ga
0.000 0.000 0.500 I
```

Results
Size of the total moment   0.00 μB per cell
Final energy   -2.983 eV per atom

Please write out number 2 again, unchanged.
# KGaICl2

A geometry-optimized KGaICl2 structure (PBE, the Alexandria database).

```
KGaICl2
1.0
5.168 0.000 0.000
0.000 5.168 0.000
0.000 0.000 5.840
Cl K Ga I
2 1 1 1
Direct
0.000 0.500 0.000 Cl
0.500 0.000 0.000 Cl
0.500 0.500 0.500 K
0.000 0.000 0.000 Ga
0.000 0.000 0.500 I
```

Results
Size of the total moment   0.00 μB per cell
Final energy   -2.983 eV per atom

size of the total moment of number 2 (KGaICl2)?
0.00 μB per cell

size of the total moment of number 1 (Ga2PdSe4)?
0.00 μB per cell